VASP calculation (PBE) on crystalline Ac2NpPO8 at its relaxed geometry.

- Spin magnetization: 3.657 μB per formula unit
- V: 165 Å³/cell
- SG: No. 164
- Calculated density: 8.55 Mg/m³
- Crystal system: trigonal
- Uncorrected energy: -94.30 eV per cell

Lattice parameters (Å, degrees): 5.581 5.581 6.117 90.00 90.00 120.00
Positions (direct):
1 Ac 0.667 0.333 0.145
2 Ac 0.333 0.667 0.855
3 Np 0.000 0.000 0.500
4 P 0.000 0.000 0.000
5 O 0.858 0.716 0.829
6 O 0.284 0.142 0.829
7 O 0.858 0.142 0.829
8 O 0.142 0.284 0.171
9 O 0.716 0.858 0.171
10 O 0.142 0.858 0.171
11 O 0.667 0.333 0.496
12 O 0.333 0.667 0.504

---

VASP calculation (PBE) on crystalline Ba2Ge2Cl at its relaxed geometry.

- Spin magnetization: 0.000 μB per formula unit
- V: 159 Å³/cell
- SG: No. 12
- E above lowest polymorph: 0 meV per atom
- Calculated density: 4.74 Mg/m³
- Crystal system: monoclinic
- Uncorrected energy: -20.53 eV per cell

Lattice parameters (Å, degrees): 4.664 4.664 9.068 89.95 103.79 122.58
Positions (direct):
1 Ba 0.828 0.414 0.242
2 Ba 0.172 0.586 0.758
3 Ge 0.344 0.168 0.511
4 Ge 0.656 0.832 0.489
5 Cl 0.000 0.000 0.000

---

Number 1: formation energy from raw total energies -2339 meV per atom. Number 2: formation energy from raw total energies -1121 meV per atom.